A plane-wave DFT calculation with meta-GGA SCAN was carried out for a PBEsol-optimized structure of AsPbS3.

a = 6.787 Å, b = 7.519 Å, c = 11.249 Å
α = 90.00°, β = 124.51°, γ = 90.00°
Space group P2_1/c (No. 14)
One atom of each set of equivalent atoms:
As 0.147 0.116 0.073
Pb 0.215 0.617 0.253
S 0.093 0.683 0.938
S 0.292 0.205 0.954
S 0.402 0.507 0.780

Output
E: -25.249 eV/atom

A plane-wave DFT calculation with meta-GGA SCAN was carried out for a PBEsol-optimized structure of NaLaTa3.

a = 4.834 Å, b = 4.834 Å, c = 4.834 Å
α = 90.00°, β = 90.00°, γ = 90.00°
Space group Pm-3m (No. 221)
One atom of each set of equivalent atoms:
Na 0.000 0.000 0.000
La 0.500 0.500 0.500
Ta 0.000 0.000 0.500

Output
offset from the most stable computed form: 0 meV/atom

A plane-wave DFT calculation with meta-GGA SCAN was carried out for a PBEsol-optimized structure of Be2SN.

a = 5.323 Å, b = 5.323 Å, c = 5.323 Å
α = 90.00°, β = 90.00°, γ = 90.00°
Space group Fm-3m (No. 225)
One atom of each set of equivalent atoms:
Be 0.250 0.250 0.250
S 0.000 0.000 0.000
N 0.000 0.000 0.500

Output
offset from the most stable computed form: 1577 meV/atom

A plane-wave DFT calculation with meta-GGA SCAN was carried out for a PBEsol-optimized structure of Hf3BCl.

a = 4.569 Å, b = 4.569 Å, c = 4.569 Å
α = 90.00°, β = 90.00°, γ = 90.00°
Space group Pm-3m (No. 221)
One atom of each set of equivalent atoms:
Hf 0.000 0.000 0.500
B 0.000 0.000 0.000
Cl 0.500 0.500 0.500

Output
E: -40.407 eV/atom

A plane-wave DFT calculation with meta-GGA SCAN was carried out for a PBEsol-optimized structure of SrSiHg.

a = 3.617 Å, b = 3.617 Å, c = 11.204 Å
α = 90.00°, β = 90.00°, γ = 90.00°
Space group I4mm (No. 107)
One atom of each set of equivalent atoms:
Sr 0.000 0.000 0.000
Si 0.000 0.000 0.310
Hg 0.000 0.000 0.691

Output
E: -33.595 eV/atom

A plane-wave DFT calculation with meta-GGA SCAN was carried out for a PBEsol-optimized structure of ZnCu2Ni.

a = 2.570 Å, b = 3.484 Å, c = 5.095 Å
α = 90.00°, β = 90.00°, γ = 90.00°
Space group Pmm2 (No. 25)
One atom of each set of equivalent atoms:
Zn 0.000 0.000 0.000
Cu 0.000 0.000 0.509
Cu 0.500 0.500 0.263
Ni 0.500 0.500 0.757

Output
E: -15.099 eV/atom

A plane-wave DFT calculation with meta-GGA SCAN was carried out for a PBEsol-optimized structure of Li5Hg3.

a = 10.458 Å, b = 10.458 Å, c = 5.307 Å
α = 90.00°, β = 90.00°, γ = 90.00°
Space group I4/mcm (No. 140)
One atom of each set of equivalent atoms:
Li 0.000 0.500 0.250
Li 0.079 0.228 0.000
Hg 0.000 0.000 0.250
Hg 0.166 0.334 0.500

Output
E: -27.446 eV/atom

A plane-wave DFT calculation with meta-GGA SCAN was carried out for a PBEsol-optimized structure of TiMo3H.

a = 4.484 Å, b = 4.484 Å, c = 4.484 Å
α = 90.00°, β = 90.00°, γ = 90.00°
Space group Pm-3m (No. 221)
One atom of each set of equivalent atoms:
Ti 0.000 0.000 0.000
Mo 0.000 0.000 0.500
H 0.500 0.500 0.500

Output
E: -22.439 eV/atom

| no. | density (g/cm³) |
| --- | --- |
| 1 | 5.31 |
| 2 | 10.36 |
| 3 | 2.82 |
| 4 | 10.12 |
| 5 | 7.17 |
| 6 | 9.14 |
| 7 | 7.28 |
| 8 | 6.20 |